ScP2Pt (GGA-PBE, optimized geometry); density of states at the Fermi level = 2.4 states/eV/f.u.; energy relative to the elements = -0.385 eV/atom; size of the total moment = 0.00 μB per formula unit; calculated density = 7.3 g/cm³; energy relative to the lowest polymorph listed for this composition = 491 meV/atom
1.0
-6.896 0.052 -1.744
-5.817 -3.019 -2.767
-6.640 -2.502 0.504
P Pt Sc
2 1 1
Direct
0.990 0.990 0.990
0.252 0.252 0.252
0.509 0.509 0.509
0.749 0.749 0.749


Si3HgS (GGA-PBE, optimized geometry); energy relative to the elements, uncorrected = 4.21 eV/f.u.; density of states at the Fermi level = 1.7 states/eV/f.u.; size of the total moment = 0.00 μB per formula unit; calculated density = 5.2 g/cm³; energy relative to the lowest polymorph listed for this composition = 0 meV/atom
1.0
4.659 0.000 0.000
0.000 4.659 0.000
0.000 0.000 4.659
S Si Hg
1 3 1
Direct
0.000 0.000 0.000
0.000 0.500 0.000
0.000 0.000 0.500
0.500 0.000 0.000
0.500 0.500 0.500


RbLiPbBr4 (GGA-PBE, optimized geometry); energy relative to the elements, uncorrected = -9.25 eV/f.u.; density of states at the Fermi level = 0.0 states/eV/f.u.; size of the total moment = 0.00 μB per formula unit; calculated density = 4.2 g/cm³
1.0
-1.288 -4.942 5.092
5.053 -4.625 -3.211
6.968 5.571 2.942
Rb Li Pb Br
2 2 2 8
Direct
0.746 0.750 0.942
0.254 0.250 0.058
0.233 0.750 0.324
0.767 0.250 0.676
0.779 0.750 0.451
0.221 0.250 0.549
0.008 0.502 0.719
0.992 0.002 0.281
0.992 0.498 0.281
0.008 0.998 0.719
0.439 0.750 0.156
0.561 0.250 0.844
0.456 0.750 0.585
0.544 0.250 0.415


TmCo3Sn5 (GGA-PBE, optimized geometry); density of states at the Fermi level = 4.0 states/eV/f.u.; energy relative to the elements = -0.121 eV/atom; size of the total moment = 0.00 μB per formula unit; calculated density = 7.9 g/cm³
1.0
7.071 -0.163 0.497
1.779 6.846 0.497
3.220 2.432 8.491
Tm Co Sn
2 6 10
Direct
0.096 0.096 0.697
0.904 0.904 0.303
0.690 0.690 0.822
0.646 0.646 0.346
0.000 0.000 0.000
0.000 0.000 0.500
0.310 0.310 0.178
0.354 0.354 0.654
0.938 0.381 0.339
0.296 0.704 0.000
0.760 0.760 0.035
0.418 0.418 0.355
0.582 0.582 0.645
0.240 0.240 0.965
0.381 0.938 0.339
0.704 0.296 0.000
0.062 0.619 0.661
0.619 0.062 0.661


The lowest density of states at the Fermi level belongs to which entry?
RbLiPbBr4


Number 3 is which compound?
RbLiPbBr4


Number 2 is which compound?
Si3HgS